one.
Ca2NdTl | GGA-PBE | relaxed

Geometry as CIF:
```
data_Ca2NdTl
_symmetry_space_group_name_H-M 'C m c m'
_symmetry_Int_Tables_number 63
_symmetry_space_group_name_Hall '-C 2c 2'
_cell_length_a 5.5337
_cell_length_b 9.6330
_cell_length_c 10.1909
_cell_angle_alpha 90.00
_cell_angle_beta 90.00
_cell_angle_gamma 90.00
loop_
_atom_site_label
_atom_site_fract_x
_atom_site_fract_y
_atom_site_fract_z
Ca1 0.0000 0.1664 0.0705
Nd1 0.0000 0.4984 0.2500
Tl1 0.0000 0.1680 0.7500
```

calculated volume	543	Å³ per cell
DOS at the Fermi energy	3.1	states/eV/f.u.

two.
Ca2NdTl | GGA-PBE | relaxed

Geometry as CIF:
```
data_Ca2NdTl
_symmetry_space_group_name_H-M 'R 3 m'
_symmetry_Int_Tables_number 160
_symmetry_space_group_name_Hall 'R 3 -2"'
_cell_length_a 3.7700
_cell_length_b 3.7700
_cell_length_c 33.9532
_cell_angle_alpha 90.00
_cell_angle_beta 90.00
_cell_angle_gamma 120.00
loop_
_atom_site_label
_atom_site_fract_x
_atom_site_fract_y
_atom_site_fract_z
Ca1 0.0000 0.0000 0.0000
Ca2 0.0000 0.0000 0.1856
Nd1 0.0000 0.0000 0.7586
Tl1 0.0000 0.0000 0.5929
```

calculated volume	418	Å³ per cell
DOS at the Fermi energy	4.9	states/eV/f.u.

Energy ordering: one at the bottom, the next structure 75 meV/atom above.

one.
Ca2NdTl | GGA-PBE | relaxed

Geometry as CIF:
```
data_Ca2NdTl
_symmetry_space_group_name_H-M 'P 4/m m m'
_symmetry_Int_Tables_number 123
_symmetry_space_group_name_Hall '-P 4 2'
_cell_length_a 4.9413
_cell_length_b 4.9413
_cell_length_c 5.3055
_cell_angle_alpha 90.00
_cell_angle_beta 90.00
_cell_angle_gamma 90.00
loop_
_atom_site_label
_atom_site_fract_x
_atom_site_fract_y
_atom_site_fract_z
Ca1 0.0000 0.5000 0.0000
Nd1 0.0000 0.0000 0.5000
Tl1 0.5000 0.5000 0.5000
```

calculated volume	130	Å³ per cell
DOS at the Fermi energy	1.4	states/eV/f.u.

two.
Ca2NdTl | GGA-PBE | relaxed

Geometry as CIF:
```
data_Ca2NdTl
_symmetry_space_group_name_H-M 'F m -3 m'
_symmetry_Int_Tables_number 225
_symmetry_space_group_name_Hall '-F 4 2 3'
_cell_length_a 8.0619
_cell_length_b 8.0619
_cell_length_c 8.0619
_cell_angle_alpha 90.00
_cell_angle_beta 90.00
_cell_angle_gamma 90.00
loop_
_atom_site_label
_atom_site_fract_x
_atom_site_fract_y
_atom_site_fract_z
Ca1 0.2500 0.2500 0.2500
Nd1 0.0000 0.0000 0.0000
Tl1 0.0000 0.0000 0.5000
```

calculated volume	524	Å³ per cell
DOS at the Fermi energy	4.5	states/eV/f.u.

three.
Ca2NdTl | GGA-PBE | relaxed

Geometry as CIF:
```
data_Ca2NdTl
_symmetry_space_group_name_H-M 'P 1 21/m 1'
_symmetry_Int_Tables_number 11
_cell_length_a 6.5651
_cell_length_b 5.6095
_cell_length_c 7.0760
_cell_angle_alpha 90.00
_cell_angle_beta 91.39
_cell_angle_gamma 90.00
loop_
_symmetry_equiv_pos_as_xyz
'x,y,z'
'-x,-y,-z'
'-x,y+1/2,-z'
'x,-y+1/2,z'
loop_
_atom_site_label
_atom_site_fract_x
_atom_site_fract_y
_atom_site_fract_z
Ca1 0.1099 0.2500 0.2196
Ca2 0.3263 0.7500 0.4792
Nd1 0.3907 0.7500 0.9778
Tl1 0.1870 0.2500 0.7459
```

calculated volume	261	Å³ per cell
DOS at the Fermi energy	3.8	states/eV/f.u.

Energy ordering: one at the bottom, the next structure 34 meV/atom above.

one.
Ca3Nd2Tl4 | GGA-PBE | relaxed

Geometry as CIF:
```
data_Ca3Nd2Tl4
_symmetry_space_group_name_H-M 'C m c e'
_symmetry_Int_Tables_number 64
_symmetry_space_group_name_Hall '-C 2ac 2'
_cell_length_a 7.0813
_cell_length_b 19.2221
_cell_length_c 8.3467
_cell_angle_alpha 90.00
_cell_angle_beta 90.00
_cell_angle_gamma 90.00
loop_
_atom_site_label
_atom_site_fract_x
_atom_site_fract_y
_atom_site_fract_z
Ca1 0.0000 0.0000 0.0000
Ca2 0.2500 0.2368 0.2500
Nd1 0.0000 0.0908 0.5910
Tl1 0.0000 0.1616 0.9635
Tl2 0.2500 0.0686 0.2500
```

calculated volume	1136	Å³ per cell
DOS at the Fermi energy	6.2	states/eV/f.u.

two.
Ca3Nd2Tl4 | GGA-PBE | relaxed

Geometry as CIF:
```
data_Ca3Nd2Tl4
_symmetry_space_group_name_H-M 'P -3 m 1'
_symmetry_Int_Tables_number 164
_symmetry_space_group_name_Hall '-P 3 2"'
_cell_length_a 5.4750
_cell_length_b 5.4750
_cell_length_c 10.6669
_cell_angle_alpha 90.00
_cell_angle_beta 90.00
_cell_angle_gamma 120.00
loop_
_atom_site_label
_atom_site_fract_x
_atom_site_fract_y
_atom_site_fract_z
Ca1 0.0000 0.0000 0.0000
Ca2 0.3333 0.6667 0.4197
Nd1 0.3333 0.6667 0.7956
Tl1 0.0000 0.0000 0.3406
Tl2 0.3333 0.6667 0.1072
```

calculated volume	277	Å³ per cell
DOS at the Fermi energy	7.0	states/eV/f.u.

Energy ordering: two at the bottom, the next structure 76 meV/atom above.

one.
CaNd2Tl4 | GGA-PBE | relaxed

Geometry as CIF:
```
data_CaNd2Tl4
_symmetry_space_group_name_H-M 'I 4/m m m'
_symmetry_Int_Tables_number 139
_symmetry_space_group_name_Hall '-I 4 2'
_cell_length_a 5.7554
_cell_length_b 5.7554
_cell_length_c 16.0718
_cell_angle_alpha 90.00
_cell_angle_beta 90.00
_cell_angle_gamma 90.00
loop_
_atom_site_label
_atom_site_fract_x
_atom_site_fract_y
_atom_site_fract_z
Ca1 0.0000 0.0000 0.0000
Nd1 0.0000 0.0000 0.3959
Tl1 0.0000 0.0000 0.1948
Tl2 0.0000 0.5000 0.0000
```

calculated volume	532	Å³ per cell
DOS at the Fermi energy	8.2	states/eV/f.u.

two.
CaNd2Tl4 | GGA-PBE | relaxed

Geometry as CIF:
```
data_CaNd2Tl4
_symmetry_space_group_name_H-M 'I 4/m m m'
_symmetry_Int_Tables_number 139
_symmetry_space_group_name_Hall '-I 4 2'
_cell_length_a 5.3553
_cell_length_b 5.3553
_cell_length_c 15.3831
_cell_angle_alpha 90.00
_cell_angle_beta 90.00
_cell_angle_gamma 90.00
loop_
_atom_site_label
_atom_site_fract_x
_atom_site_fract_y
_atom_site_fract_z
Ca1 0.0000 0.0000 0.0000
Nd1 0.0000 0.0000 0.2507
Tl1 0.0000 0.5000 0.1145
```

calculated volume	441	Å³ per cell
DOS at the Fermi energy	4.2	states/eV/f.u.

Energy ordering: two at the bottom, the next structure 368 meV/atom above.

one.
CaNd3Tm | GGA-PBE | relaxed

Geometry as CIF:
```
data_CaNd3Tm
_symmetry_space_group_name_H-M 'C m m m'
_symmetry_Int_Tables_number 65
_symmetry_space_group_name_Hall '-C 2 2'
_cell_length_a 5.5425
_cell_length_b 11.3607
_cell_length_c 11.4151
_cell_angle_alpha 90.00
_cell_angle_beta 90.00
_cell_angle_gamma 90.00
loop_
_atom_site_label
_atom_site_fract_x
_atom_site_fract_y
_atom_site_fract_z
Ca1 0.0000 0.1556 0.0000
Nd1 0.0000 0.1524 0.3094
Nd2 0.0000 0.5000 0.1927
Tm1 0.0000 0.3609 0.5000
```

calculated volume	719	Å³ per cell
DOS at the Fermi energy	8.1	states/eV/f.u.

two.
CaNd3Tm | GGA-PBE | relaxed

Geometry as CIF:
```
data_CaNd3Tm
_symmetry_space_group_name_H-M 'R -3'
_symmetry_Int_Tables_number 148
_symmetry_space_group_name_Hall '-R 3'
_cell_length_a 6.2232
_cell_length_b 6.2232
_cell_length_c 35.2097
_cell_angle_alpha 90.00
_cell_angle_beta 90.00
_cell_angle_gamma 120.00
loop_
_atom_site_label
_atom_site_fract_x
_atom_site_fract_y
_atom_site_fract_z
Ca1 0.0000 0.0000 0.1671
Nd1 0.0043 0.6768 0.0774
Tm1 0.0000 0.0000 0.3336
```

calculated volume	1181	Å³ per cell
DOS at the Fermi energy	8.5	states/eV/f.u.

Energy ordering: one at the bottom, the next structure 203 meV/atom above.

one.
CaNd2Tm | GGA-PBE | relaxed

Geometry as CIF:
```
data_CaNd2Tm
_symmetry_space_group_name_H-M 'R 3 m'
_symmetry_Int_Tables_number 160
_symmetry_space_group_name_Hall 'R 3 -2"'
_cell_length_a 3.6431
_cell_length_b 3.6431
_cell_length_c 36.5766
_cell_angle_alpha 90.00
_cell_angle_beta 90.00
_cell_angle_gamma 120.00
loop_
_atom_site_label
_atom_site_fract_x
_atom_site_fract_y
_atom_site_fract_z
Ca1 0.0000 0.0000 0.0000
Nd1 0.0000 0.0000 0.2443
Nd2 0.0000 0.0000 0.4223
Tm1 0.0000 0.0000 0.8334
```

calculated volume	420	Å³ per cell
DOS at the Fermi energy	5.1	states/eV/f.u.

two.
CaNd2Tm | GGA-PBE | relaxed

Geometry as CIF:
```
data_CaNd2Tm
_symmetry_space_group_name_H-M 'P 4/m m m'
_symmetry_Int_Tables_number 123
_symmetry_space_group_name_Hall '-P 4 2'
_cell_length_a 5.2549
_cell_length_b 5.2549
_cell_length_c 5.0178
_cell_angle_alpha 90.00
_cell_angle_beta 90.00
_cell_angle_gamma 90.00
loop_
_atom_site_label
_atom_site_fract_x
_atom_site_fract_y
_atom_site_fract_z
Ca1 0.0000 0.0000 0.0000
Nd1 0.0000 0.5000 0.5000
Tm1 0.5000 0.5000 0.0000
```

calculated volume	139	Å³ per cell
DOS at the Fermi energy	5.6	states/eV/f.u.

Energy ordering: one at the bottom, the next structure 57 meV/atom above.

one.
CaNd2Tm | GGA-PBE | relaxed

Geometry as CIF:
```
data_CaNd2Tm
_symmetry_space_group_name_H-M 'P 4/m m m'
_symmetry_Int_Tables_number 123
_symmetry_space_group_name_Hall '-P 4 2'
_cell_length_a 3.6632
_cell_length_b 3.6632
_cell_length_c 10.4578
_cell_angle_alpha 90.00
_cell_angle_beta 90.00
_cell_angle_gamma 90.00
loop_
_atom_site_label
_atom_site_fract_x
_atom_site_fract_y
_atom_site_fract_z
Ca1 0.0000 0.0000 0.0000
Nd1 0.5000 0.5000 0.2671
Tm1 0.0000 0.0000 0.5000
```

calculated volume	140	Å³ per cell
DOS at the Fermi energy	5.9	states/eV/f.u.

two.
CaNd2Tm | GGA-PBE | relaxed

Geometry as CIF:
```
data_CaNd2Tm
_symmetry_space_group_name_H-M 'F m -3 m'
_symmetry_Int_Tables_number 225
_symmetry_space_group_name_Hall '-F 4 2 3'
_cell_length_a 8.2384
_cell_length_b 8.2384
_cell_length_c 8.2384
_cell_angle_alpha 90.00
_cell_angle_beta 90.00
_cell_angle_gamma 90.00
loop_
_atom_site_label
_atom_site_fract_x
_atom_site_fract_y
_atom_site_fract_z
Ca1 0.0000 0.0000 0.0000
Nd1 0.2500 0.2500 0.2500
Tm1 0.0000 0.0000 0.5000
```

calculated volume	559	Å³ per cell
DOS at the Fermi energy	6.0	states/eV/f.u.

Energy ordering: one at the bottom, the next structure 67 meV/atom above.